Entry from the Alexandria database: AcSbRu2 after structural relaxation (PBE).

Structure (extended XYZ):
```
4
Lattice="-0.9585 3.5695 0.3969 -0.8395 0.2892 -4.6283 -4.4752 -1.2831 0.7315" Properties=species:S:1:pos:R:3 pbc="T T T"
Sb -3.1366 1.2878 -1.7499
Ac -0.4793 1.7847 0.1984
Ru -2.2376 -0.6415 0.3658
Ru -0.4197 0.1446 -2.3141
```

Values from the calculation:
- spin magnetization (μB per formula unit) = 0.00
- raw total energy (eV/cell) = -26.70
- formation energy from raw total energies (eV per atom) = 0.022
- space group = P4/mmm (123)